# RbLa2Ni2 (PBE, relaxed)
# Crystal system   tetragonal
# Mass density   6.00 g cm⁻³
# SG   No. 127
# VASP energy   -0.15940 hartree per atom
# DFT formation energy   0.698 eV/f.u.
data_RbLa2Ni2
_symmetry_space_group_name_H-M 'P 1'
_symmetry_Int_Tables_number 1
_symmetry_space_group_name_Hall 'P 1'
_cell_length_a 8.7051
_cell_length_b 8.7051
_cell_length_c 3.5105
_cell_angle_alpha 90.00
_cell_angle_beta 90.00
_cell_angle_gamma 90.00
loop_
_atom_site_label
_atom_site_type_symbol
_atom_site_fract_x
_atom_site_fract_y
_atom_site_fract_z
_atom_site_occupancy
Ni1 Ni 0.1228 0.6228 0.5000 1
Ni2 Ni 0.6228 0.8772 0.5000 1
Ni3 Ni 0.8772 0.3772 0.5000 1
Ni4 Ni 0.3772 0.1228 0.5000 1
Rb1 Rb 0.0000 0.0000 0.0000 1
Rb2 Rb 0.5000 0.5000 0.0000 1
La1 La 0.3582 0.8582 0.0000 1
La2 La 0.8582 0.6418 0.0000 1
La3 La 0.6418 0.1418 0.0000 1
La4 La 0.1418 0.3582 0.0000 1

***

# RbLa2NiRh (PBE, relaxed)
# Crystal system   tetragonal
# Mass density   6.27 g cm⁻³
# SG   No. 123
# VASP energy   -0.12546 hartree per atom
# DFT formation energy   6.886 eV/f.u.
# E above lowest polymorph   0.857 eV/atom
data_RbLa2NiRh
_symmetry_space_group_name_H-M 'P 1'
_symmetry_Int_Tables_number 1
_symmetry_space_group_name_Hall 'P 1'
_cell_length_a 5.5910
_cell_length_b 4.4475
_cell_length_c 5.5910
_cell_angle_alpha 90.00
_cell_angle_beta 90.00
_cell_angle_gamma 90.00
loop_
_atom_site_label
_atom_site_type_symbol
_atom_site_fract_x
_atom_site_fract_y
_atom_site_fract_z
_atom_site_occupancy
Ni1 Ni 0.0000 0.5000 0.0000 1
Rh1 Rh 0.5000 0.5000 0.5000 1
Rb1 Rb 0.0000 0.0000 0.0000 1
La1 La 0.0000 0.0000 0.5000 1
La2 La 0.5000 0.0000 0.0000 1

***

# RbLa2NiRh (PBE, relaxed)
# Crystal system   tetragonal
# Mass density   5.67 g cm⁻³
# SG   No. 123
# VASP energy   -0.15695 hartree per atom
# DFT formation energy   2.601 eV/f.u.
# E above lowest polymorph   0.000 eV/atom
data_RbLa2NiRh
_symmetry_space_group_name_H-M 'P 1'
_symmetry_Int_Tables_number 1
_symmetry_space_group_name_Hall 'P 1'
_cell_length_a 5.3355
_cell_length_b 5.4039
_cell_length_c 5.3355
_cell_angle_alpha 90.00
_cell_angle_beta 90.00
_cell_angle_gamma 90.00
loop_
_atom_site_label
_atom_site_type_symbol
_atom_site_fract_x
_atom_site_fract_y
_atom_site_fract_z
_atom_site_occupancy
Ni1 Ni 0.0000 0.0000 0.0000 1
Rh1 Rh 0.5000 0.5000 0.5000 1
Rb1 Rb 0.0000 0.5000 0.0000 1
La1 La 0.0000 0.0000 0.5000 1
La2 La 0.5000 0.0000 0.0000 1

***

# RbLaSi2Ni (PBE, relaxed)
# Crystal system   tetragonal
# ΔE_f (raw)   1006 kJ/mol of formula units
# Mass density   3.66 g cm⁻³
# SG   No. 123
# VASP energy   -0.08889 hartree per atom
data_RbLaSi2Ni
_symmetry_space_group_name_H-M 'P 1'
_symmetry_Int_Tables_number 1
_symmetry_space_group_name_Hall 'P 1'
_cell_length_a 5.2596
_cell_length_b 5.5584
_cell_length_c 5.2596
_cell_angle_alpha 90.00
_cell_angle_beta 90.00
_cell_angle_gamma 90.00
loop_
_atom_site_label
_atom_site_type_symbol
_atom_site_fract_x
_atom_site_fract_y
_atom_site_fract_z
_atom_site_occupancy
Ni1 Ni 0.5000 0.5000 0.5000 1
Si1 Si 0.0000 0.0000 0.5000 1
Si2 Si 0.5000 0.0000 0.0000 1
Rb1 Rb 0.0000 0.0000 0.0000 1
La1 La 0.0000 0.5000 0.0000 1

***

# RbSr2LaNi (PBE, relaxed)
# Crystal system   tetragonal
# Mass density   3.50 g cm⁻³
# SG   No. 123
# VASP energy   -0.10792 hartree per atom
# DFT formation energy   0.357 eV/f.u.
data_RbSr2LaNi
_symmetry_space_group_name_H-M 'P 1'
_symmetry_Int_Tables_number 1
_symmetry_space_group_name_Hall 'P 1'
_cell_length_a 6.3628
_cell_length_b 6.3628
_cell_length_c 5.3734
_cell_angle_alpha 90.00
_cell_angle_beta 90.00
_cell_angle_gamma 90.00
loop_
_atom_site_label
_atom_site_type_symbol
_atom_site_fract_x
_atom_site_fract_y
_atom_site_fract_z
_atom_site_occupancy
Sr1 Sr 0.0000 0.5000 0.0000 1
Sr2 Sr 0.5000 0.0000 0.0000 1
Ni1 Ni 0.0000 0.0000 0.0000 1
Rb1 Rb 0.5000 0.5000 0.5000 1
La1 La 0.0000 0.0000 0.5000 1

***

# RbLaTcNi2 (PBE, relaxed)
# Crystal system   tetragonal
# Mass density   6.78 g cm⁻³
# SG   No. 123
# VASP energy   -0.13736 hartree per atom
# DFT formation energy   9.134 eV/f.u.
# E above lowest polymorph   0.786 eV/atom
data_RbLaTcNi2
_symmetry_space_group_name_H-M 'P 1'
_symmetry_Int_Tables_number 1
_symmetry_space_group_name_Hall 'P 1'
_cell_length_a 4.6673
_cell_length_b 4.9462
_cell_length_c 4.6673
_cell_angle_alpha 90.00
_cell_angle_beta 90.00
_cell_angle_gamma 90.00
loop_
_atom_site_label
_atom_site_type_symbol
_atom_site_fract_x
_atom_site_fract_y
_atom_site_fract_z
_atom_site_occupancy
Ni1 Ni 0.0000 0.0000 0.5000 1
Ni2 Ni 0.5000 0.0000 0.0000 1
Tc1 Tc 0.0000 0.5000 0.0000 1
Rb1 Rb 0.0000 0.0000 0.0000 1
La1 La 0.5000 0.5000 0.5000 1

***

# RbLaTcNi2 (PBE, relaxed)
# Crystal system   tetragonal
# Mass density   6.40 g cm⁻³
# SG   No. 123
# VASP energy   -0.16624 hartree per atom
# DFT formation energy   5.206 eV/f.u.
# E above lowest polymorph   0.000 eV/atom
data_RbLaTcNi2
_symmetry_space_group_name_H-M 'P 1'
_symmetry_Int_Tables_number 1
_symmetry_space_group_name_Hall 'P 1'
_cell_length_a 4.7261
_cell_length_b 5.1095
_cell_length_c 4.7261
_cell_angle_alpha 90.00
_cell_angle_beta 90.00
_cell_angle_gamma 90.00
loop_
_atom_site_label
_atom_site_type_symbol
_atom_site_fract_x
_atom_site_fract_y
_atom_site_fract_z
_atom_site_occupancy
Ni1 Ni 0.0000 0.0000 0.5000 1
Ni2 Ni 0.5000 0.0000 0.0000 1
Tc1 Tc 0.0000 0.0000 0.0000 1
Rb1 Rb 0.0000 0.5000 0.0000 1
La1 La 0.5000 0.5000 0.5000 1

***

# Rb2LaNiW (PBE, relaxed)
# Crystal system   tetragonal
# Mass density   4.62 g cm⁻³
# SG   No. 123
# VASP energy   -0.12999 hartree per atom
# DFT formation energy   7.911 eV/f.u.
data_Rb2LaNiW
_symmetry_space_group_name_H-M 'P 1'
_symmetry_Int_Tables_number 1
_symmetry_space_group_name_Hall 'P 1'
_cell_length_a 6.1136
_cell_length_b 5.3134
_cell_length_c 6.1136
_cell_angle_alpha 90.00
_cell_angle_beta 90.00
_cell_angle_gamma 90.00
loop_
_atom_site_label
_atom_site_type_symbol
_atom_site_fract_x
_atom_site_fract_y
_atom_site_fract_z
_atom_site_occupancy
Ni1 Ni 0.0000 0.0000 0.0000 1
Rb1 Rb 0.0000 0.0000 0.5000 1
Rb2 Rb 0.5000 0.0000 0.0000 1
W1 W 0.5000 0.5000 0.5000 1
La1 La 0.0000 0.5000 0.0000 1

***

# LaReNi2 (PBE, relaxed)
# Crystal system   cubic
# Mass density   10.70 g cm⁻³
# SG   No. 225
# VASP energy   -0.24990 hartree per atom
# DFT formation energy   1.737 eV/f.u.
# E above lowest polymorph   0.492 eV/atom
data_LaReNi2
_symmetry_space_group_name_H-M 'P 1'
_symmetry_Int_Tables_number 1
_symmetry_space_group_name_Hall 'P 1'
_cell_length_a 4.5961
_cell_length_b 4.5961
_cell_length_c 4.5961
_cell_angle_alpha 60.00
_cell_angle_beta 60.00
_cell_angle_gamma 60.00
loop_
_atom_site_label
_atom_site_type_symbol
_atom_site_fract_x
_atom_site_fract_y
_atom_site_fract_z
_atom_site_occupancy
Re1 Re 0.5000 0.5000 0.5000 1
Ni1 Ni 0.2500 0.2500 0.2500 1
Ni2 Ni 0.7500 0.7500 0.7500 1
La1 La 0.0000 0.0000 0.0000 1

***

# LaRe2Ni2 (PBE, relaxed)
# Crystal system   tetragonal
# Mass density   11.58 g cm⁻³
# SG   No. 139
# VASP energy   -0.29598 hartree per atom
# DFT formation energy   1.117 eV/f.u.
data_LaRe2Ni2
_symmetry_space_group_name_H-M 'P 1'
_symmetry_Int_Tables_number 1
_symmetry_space_group_name_Hall 'P 1'
_cell_length_a 4.2315
_cell_length_b 4.2315
_cell_length_c 5.8583
_cell_angle_alpha 68.83
_cell_angle_beta 68.83
_cell_angle_gamma 90.00
loop_
_atom_site_label
_atom_site_type_symbol
_atom_site_fract_x
_atom_site_fract_y
_atom_site_fract_z
_atom_site_occupancy
Re1 Re 0.3815 0.3815 0.2369 1
Re2 Re 0.6185 0.6185 0.7631 1
Ni1 Ni 0.7500 0.2500 0.5000 1
Ni2 Ni 0.2500 0.7500 0.5000 1
La1 La 0.0000 0.0000 0.0000 1

***

# LaReNi2 (PBE, relaxed)
# Crystal system   orthorhombic
# Mass density   11.55 g cm⁻³
# SG   No. 65
# VASP energy   -0.25525 hartree per atom
# DFT formation energy   1.156 eV/f.u.
# E above lowest polymorph   0.347 eV/atom
data_LaReNi2
_symmetry_space_group_name_H-M 'P 1'
_symmetry_Int_Tables_number 1
_symmetry_space_group_name_Hall 'P 1'
_cell_length_a 4.7987
_cell_length_b 4.7987
_cell_length_c 2.8596
_cell_angle_alpha 89.94
_cell_angle_beta 89.94
_cell_angle_gamma 105.04
loop_
_atom_site_label
_atom_site_type_symbol
_atom_site_fract_x
_atom_site_fract_y
_atom_site_fract_z
_atom_site_occupancy
La1 La 0.0000 0.5000 0.5000 1
Ni1 Ni 0.0000 0.0000 0.0000 1
Ni2 Ni 0.5000 0.5000 0.0000 1
Re1 Re 0.5000 0.0000 0.5000 1

***

# LaReNi4 (PBE, relaxed)
# Crystal system   cubic
# Mass density   10.62 g cm⁻³
# SG   No. 216
# VASP energy   -0.24216 hartree per atom
# DFT formation energy   0.963 eV/f.u.
data_LaReNi4
_symmetry_space_group_name_H-M 'P 1'
_symmetry_Int_Tables_number 1
_symmetry_space_group_name_Hall 'P 1'
_cell_length_a 4.9834
_cell_length_b 4.9834
_cell_length_c 4.9834
_cell_angle_alpha 60.00
_cell_angle_beta 60.00
_cell_angle_gamma 60.00
loop_
_atom_site_label
_atom_site_type_symbol
_atom_site_fract_x
_atom_site_fract_y
_atom_site_fract_z
_atom_site_occupancy
La1 La 0.0000 0.0000 0.0000 1
Re1 Re 0.2500 0.2500 0.2500 1
Ni1 Ni 0.6238 0.6238 0.1285 1
Ni2 Ni 0.6238 0.1285 0.6238 1
Ni3 Ni 0.6238 0.6238 0.6238 1
Ni4 Ni 0.1285 0.6238 0.6238 1

***

- What is the mass density in the twelfth record?
  10.62 g cm⁻³

***

- Which value of VASP energy does entry 4 give?
  -0.08889 hartree per atom

***

- Which of these has the lowest mass density?
  RbSr2LaNi